Record 1
# PBE BaCd4Pb8, optimized geometry
# ΔE_f ... -0.094 eV/atom
# Crystal system ... tetragonal
data_BaCd4Pb8
_chemical_formula_sum 'Ba2 Cd8 Pb16'
_symmetry_space_group_name_H-M 'I 4/m m m'
_symmetry_Int_Tables_number 139
_symmetry_space_group_name_Hall '-I 4 2'
_cell_length_a 11.523
_cell_length_b 11.523
_cell_length_c 5.991
_cell_angle_alpha 90.00
_cell_angle_beta 90.00
_cell_angle_gamma 90.00
loop_
_atom_site_label
_atom_site_fract_x
_atom_site_fract_y
_atom_site_fract_z
Ba1 0.000 0.000 0.000
Cd1 0.250 0.250 0.250
Pb1 0.000 0.216 0.500
Pb2 0.000 0.353 0.000

---

Record 2
# PBE BaCd2Pb5, optimized geometry
# ΔE_f ... -0.139 eV/atom
# Crystal system ... orthorhombic
data_BaCd2Pb5
_chemical_formula_sum 'Ba2 Cd4 Pb10'
_symmetry_space_group_name_H-M 'I m m m'
_symmetry_Int_Tables_number 71
_symmetry_space_group_name_Hall '-I 2 2'
_cell_length_a 4.714
_cell_length_b 9.414
_cell_length_c 11.935
_cell_angle_alpha 90.00
_cell_angle_beta 90.00
_cell_angle_gamma 90.00
loop_
_atom_site_label
_atom_site_fract_x
_atom_site_fract_y
_atom_site_fract_z
Ba1 0.000 0.000 0.000
Cd1 0.000 0.500 0.266
Pb1 0.000 0.194 0.351
Pb2 0.000 0.500 0.000

---

Record 3
# PBE Ba3Cd6Pb5, optimized geometry
# ΔE_f ... -0.332 eV/atom
# Crystal system ... orthorhombic
data_Ba3Cd6Pb5
_chemical_formula_sum 'Ba6 Cd12 Pb10'
_symmetry_space_group_name_H-M 'P m m n'
_symmetry_Int_Tables_number 59
_cell_length_a 5.029
_cell_length_b 14.896
_cell_length_c 11.749
_cell_angle_alpha 90.00
_cell_angle_beta 90.00
_cell_angle_gamma 90.00
loop_
_symmetry_equiv_pos_as_xyz
'x,y,z'
'-x,-y,-z'
'-x+1/2,-y+1/2,z'
'x+1/2,y+1/2,-z'
'x+1/2,-y,-z'
'-x+1/2,y,z'
'-x,y+1/2,-z'
'x,-y+1/2,z'
loop_
_atom_site_label
_atom_site_fract_x
_atom_site_fract_y
_atom_site_fract_z
Ba1 0.250 0.064 0.245
Ba2 0.250 0.750 0.245
Cd1 0.250 0.087 0.618
Cd2 0.250 0.250 0.036
Cd3 0.250 0.250 0.450
Cd4 0.250 0.606 0.980
Pb1 0.250 0.086 0.874
Pb2 0.250 0.609 0.525
Pb3 0.250 0.750 0.780

---

Record 4
# PBE Ba2CdPb, optimized geometry
# Polymorph energy (0 for the lowest one) ... 46 meV/atom
# ΔE_f ... -0.445 eV/atom
# Crystal system ... orthorhombic
data_Ba2CdPb
_chemical_formula_sum 'Ba4 Cd2 Pb2'
_symmetry_space_group_name_H-M 'A m m 2'
_symmetry_Int_Tables_number 38
_cell_length_a 4.184
_cell_length_b 8.900
_cell_length_c 8.372
_cell_angle_alpha 90.00
_cell_angle_beta 90.00
_cell_angle_gamma 90.00
loop_
_symmetry_equiv_pos_as_xyz
'x,y,z'
'-x,-y,z'
'-x,y,z'
'x,-y,z'
'x,y+1/2,z+1/2'
'-x,-y+1/2,z+1/2'
'-x,y+1/2,z+1/2'
'x,-y+1/2,z+1/2'
loop_
_atom_site_label
_atom_site_fract_x
_atom_site_fract_y
_atom_site_fract_z
Ba1 0.000 0.225 0.000
Cd1 0.500 0.000 0.289
Pb1 0.500 0.000 0.710

---

Record 5
# PBE Ba2CdPb, optimized geometry
# Polymorph energy (0 for the lowest one) ... 195 meV/atom
# ΔE_f ... -0.297 eV/atom
# Crystal system ... trigonal
data_Ba2CdPb
_chemical_formula_sum 'Ba6 Cd3 Pb3'
_symmetry_space_group_name_H-M 'R 3 m'
_symmetry_Int_Tables_number 160
_symmetry_space_group_name_Hall 'R 3 -2"'
_cell_length_a 5.0327
_cell_length_b 5.0327
_cell_length_c 26.6195
_cell_angle_alpha 90.00
_cell_angle_beta 90.00
_cell_angle_gamma 120.00
loop_
_atom_site_label
_atom_site_fract_x
_atom_site_fract_y
_atom_site_fract_z
Ba1 0.0000 0.0000 0.0000
Ba2 0.0000 0.0000 0.1775
Cd1 0.0000 0.0000 0.4351
Pb1 0.0000 0.0000 0.7436

---

Record 6
# PBE Ba2CdPb, optimized geometry
# Polymorph energy (0 for the lowest one) ... 233 meV/atom
# ΔE_f ... -0.259 eV/atom
# Crystal system ... monoclinic
data_Ba2CdPb
_chemical_formula_sum 'Ba4 Cd2 Pb2'
_symmetry_space_group_name_H-M 'C 1 2/m 1'
_symmetry_Int_Tables_number 12
_cell_length_a 10.292
_cell_length_b 4.296
_cell_length_c 8.315
_cell_angle_alpha 90.00
_cell_angle_beta 102.49
_cell_angle_gamma 90.00
loop_
_symmetry_equiv_pos_as_xyz
'x,y,z'
'-x,-y,-z'
'-x,y,-z'
'x,-y,z'
'x+1/2,y+1/2,z'
'-x+1/2,-y+1/2,-z'
'-x+1/2,y+1/2,-z'
'x+1/2,-y+1/2,z'
loop_
_atom_site_label
_atom_site_fract_x
_atom_site_fract_y
_atom_site_fract_z
Ba1 0.245 0.000 0.239
Cd1 0.000 0.000 0.500
Pb1 0.000 0.500 0.000

---

Record 7
# PBE BaCdPd2Pb2, optimized geometry
# ΔE_f ... -0.267 eV/atom
# Crystal system ... tetragonal
data_BaCdPd2Pb2
_chemical_formula_sum 'Ba1 Cd1 Pd2 Pb2'
_symmetry_space_group_name_H-M 'P 4/m m m'
_symmetry_Int_Tables_number 123
_symmetry_space_group_name_Hall '-P 4 2'
_cell_length_a 5.100
_cell_length_b 5.100
_cell_length_c 6.597
_cell_angle_alpha 90.00
_cell_angle_beta 90.00
_cell_angle_gamma 90.00
loop_
_atom_site_label
_atom_site_fract_x
_atom_site_fract_y
_atom_site_fract_z
Ba1 0.000 0.000 0.000
Cd1 0.000 0.000 0.500
Pd1 0.000 0.500 0.500
Pb1 0.500 0.500 0.256

---

Record 8
# PBE BaCdPd3Pb, optimized geometry
# ΔE_f ... -0.291 eV/atom
# Crystal system ... orthorhombic
data_BaCdPd3Pb
_chemical_formula_sum 'Ba4 Cd4 Pd12 Pb4'
_symmetry_space_group_name_H-M 'C m c m'
_symmetry_Int_Tables_number 63
_symmetry_space_group_name_Hall '-C 2c 2'
_cell_length_a 6.473
_cell_length_b 12.939
_cell_length_c 7.162
_cell_angle_alpha 90.00
_cell_angle_beta 90.00
_cell_angle_gamma 90.00
loop_
_atom_site_label
_atom_site_fract_x
_atom_site_fract_y
_atom_site_fract_z
Ba1 0.000 0.184 0.250
Cd1 0.000 0.439 0.250
Pd1 0.000 0.347 0.750
Pd2 0.218 0.000 0.000
Pb1 0.000 0.132 0.750

---

Record 9
# PBE Ba2CdPdPb6, optimized geometry
# ΔE_f ... -0.238 eV/atom
# Crystal system ... trigonal
data_Ba2CdPdPb6
_chemical_formula_sum 'Ba12 Cd6 Pd6 Pb36'
_symmetry_space_group_name_H-M 'R -3 m'
_symmetry_Int_Tables_number 166
_symmetry_space_group_name_Hall '-R 3 2"'
_cell_length_a 7.5592
_cell_length_b 7.5592
_cell_length_c 41.1375
_cell_angle_alpha 90.00
_cell_angle_beta 90.00
_cell_angle_gamma 120.00
loop_
_atom_site_label
_atom_site_fract_x
_atom_site_fract_y
_atom_site_fract_z
Ba1 0.0000 0.0000 0.1122
Ba2 0.0000 0.0000 0.2849
Cd1 0.0000 0.0000 0.4275
Pd1 0.0000 0.0000 0.0000
Pd2 0.0000 0.0000 0.5000
Pb1 0.0368 0.5184 0.2978
Pb2 0.0498 0.5249 0.8650

---

Record 10
# PBE BaCd2PdPb, optimized geometry
# Polymorph energy (0 for the lowest one) ... 79 meV/atom
# ΔE_f ... -0.304 eV/atom
# Crystal system ... tetragonal
data_BaCd2PdPb
_chemical_formula_sum 'Ba1 Cd2 Pd1 Pb1'
_symmetry_space_group_name_H-M 'P 4/m m m'
_symmetry_Int_Tables_number 123
_symmetry_space_group_name_Hall '-P 4 2'
_cell_length_a 5.301
_cell_length_b 5.301
_cell_length_c 5.379
_cell_angle_alpha 90.00
_cell_angle_beta 90.00
_cell_angle_gamma 90.00
loop_
_atom_site_label
_atom_site_fract_x
_atom_site_fract_y
_atom_site_fract_z
Ba1 0.000 0.000 0.000
Cd1 0.000 0.500 0.500
Pd1 0.500 0.500 0.500
Pb1 0.500 0.500 0.000

---

Record 11
# PBE Ba2Cd3Pd4Pb, optimized geometry
# ΔE_f ... -0.454 eV/atom
# Crystal system ... tetragonal
data_Ba2Cd3Pd4Pb
_chemical_formula_sum 'Ba2 Cd3 Pd4 Pb1'
_symmetry_space_group_name_H-M 'P -4 m 2'
_symmetry_Int_Tables_number 115
_cell_length_a 4.920
_cell_length_b 4.920
_cell_length_c 10.650
_cell_angle_alpha 90.00
_cell_angle_beta 90.00
_cell_angle_gamma 90.00
loop_
_symmetry_equiv_pos_as_xyz
'x,y,z'
'y,-x,-z'
'-x,-y,z'
'-y,x,-z'
'-x,y,z'
'-y,-x,-z'
'x,-y,z'
'y,x,-z'
loop_
_atom_site_label
_atom_site_fract_x
_atom_site_fract_y
_atom_site_fract_z
Ba1 0.000 0.500 0.232
Cd1 0.000 0.500 0.881
Cd2 0.500 0.500 0.500
Pd1 0.000 0.000 0.000
Pd2 0.000 0.500 0.623
Pd3 0.500 0.500 0.000
Pb1 0.000 0.000 0.500

---

Record 12
# PBE BaCd2PdPb, optimized geometry
# Polymorph energy (0 for the lowest one) ... 0 meV/atom
# ΔE_f ... -0.383 eV/atom
# Crystal system ... orthorhombic
data_BaCd2PdPb
_chemical_formula_sum 'Ba2 Cd4 Pd2 Pb2'
_symmetry_space_group_name_H-M 'I m m 2'
_symmetry_Int_Tables_number 44
_cell_length_a 4.775
_cell_length_b 4.857
_cell_length_c 12.229
_cell_angle_alpha 90.00
_cell_angle_beta 90.00
_cell_angle_gamma 90.00
loop_
_symmetry_equiv_pos_as_xyz
'x,y,z'
'-x,-y,z'
'-x,y,z'
'x,-y,z'
'x+1/2,y+1/2,z+1/2'
'-x+1/2,-y+1/2,z+1/2'
'-x+1/2,y+1/2,z+1/2'
'x+1/2,-y+1/2,z+1/2'
loop_
_atom_site_label
_atom_site_fract_x
_atom_site_fract_y
_atom_site_fract_z
Ba1 0.000 0.000 0.000
Cd1 0.000 0.000 0.605
Cd2 0.000 0.500 0.262
Pd1 0.000 0.000 0.382
Pb1 0.000 0.500 0.762

---

The lowest ΔE_f belongs to which entry?
Ba2Cd3Pd4Pb

---

Which of these has the highest ΔE_f?
BaCd4Pb8